[1]
# K2HAu, relaxed, DFT PBE-GGA
data_K2HAu
_symmetry_space_group_name_H-M 'P 1'
_symmetry_Int_Tables_number 1
_cell_length_a 8.0626
_cell_length_b 8.0626
_cell_length_c 8.0626
_cell_angle_alpha 30.39
_cell_angle_beta 30.39
_cell_angle_gamma 30.39
loop_
_symmetry_equiv_pos_as_xyz
'x,y,z'
loop_
_atom_site_label
_atom_site_fract_x
_atom_site_fract_y
_atom_site_fract_z
_atom_site_occupancy
K1 0.0000 0.0000 0.0000 1
K2 0.1939 0.1939 0.1939 1
H1 0.5970 0.5970 0.5970 1
Au1 0.7640 0.7640 0.7640 1
# SG: No. 160



[2]
# LaMgTeN2, relaxed, DFT PBE-GGA
data_LaMgTeN2
_symmetry_space_group_name_H-M 'P 1'
_symmetry_Int_Tables_number 1
_cell_length_a 4.2888
_cell_length_b 4.2888
_cell_length_c 6.8692
_cell_angle_alpha 90.00
_cell_angle_beta 90.00
_cell_angle_gamma 90.00
loop_
_symmetry_equiv_pos_as_xyz
'x,y,z'
loop_
_atom_site_label
_atom_site_fract_x
_atom_site_fract_y
_atom_site_fract_z
_atom_site_occupancy
La1 0.0000 0.0000 0.0000 1
Mg1 0.5000 0.5000 0.5000 1
Te1 0.0000 0.0000 0.5000 1
N1 0.0000 0.5000 0.0000 1
N2 0.5000 0.0000 0.0000 1
# SG: No. 123
# ΔE_f (raw): 0.400 eV/atom



[3]
# TaSn2Pt, relaxed, DFT PBE-GGA
data_TaSn2Pt
_symmetry_space_group_name_H-M 'P 1'
_symmetry_Int_Tables_number 1
_cell_length_a 4.7941
_cell_length_b 4.7941
_cell_length_c 4.7941
_cell_angle_alpha 60.00
_cell_angle_beta 60.00
_cell_angle_gamma 60.00
loop_
_symmetry_equiv_pos_as_xyz
'x,y,z'
loop_
_atom_site_label
_atom_site_fract_x
_atom_site_fract_y
_atom_site_fract_z
_atom_site_occupancy
Ta1 0.0000 0.0000 0.0000 1
Sn1 0.2500 0.2500 0.2500 1
Sn2 0.7500 0.7500 0.7500 1
Pt1 0.5000 0.5000 0.5000 1
# ΔH_f (0 K): 0.1682 eV per atom
# SG: No. 225



[4]
# Sm2Dy4Tl, relaxed, DFT PBE-GGA
data_Sm2Dy4Tl
_symmetry_space_group_name_H-M 'P 1'
_symmetry_Int_Tables_number 1
_cell_length_a 5.8244
_cell_length_b 6.6955
_cell_length_c 11.5087
_cell_angle_alpha 90.00
_cell_angle_beta 103.49
_cell_angle_gamma 90.00
loop_
_symmetry_equiv_pos_as_xyz
'x,y,z'
loop_
_atom_site_label
_atom_site_fract_x
_atom_site_fract_y
_atom_site_fract_z
_atom_site_occupancy
Sm1 0.0421 0.2500 0.4760 1
Sm2 0.3356 0.7500 0.0698 1
Sm3 0.6644 0.2500 0.9302 1
Sm4 0.9579 0.7500 0.5240 1
Dy1 0.1617 0.0091 0.7875 1
Dy2 0.1617 0.4909 0.7875 1
Dy3 0.2159 0.2500 0.0695 1
Dy4 0.3886 0.7500 0.3685 1
Dy5 0.6114 0.2500 0.6315 1
Dy6 0.7841 0.7500 0.9305 1
Dy7 0.8383 0.5091 0.2125 1
Dy8 0.8383 0.9909 0.2125 1
Tl1 0.4715 0.2500 0.3413 1
Tl2 0.5285 0.7500 0.6587 1
# ΔH_f (0 K): -0.0049 eV per atom
# SG: No. 11



[5]
# NdSmPdPt, relaxed, DFT PBE-GGA
data_NdSmPdPt
_symmetry_space_group_name_H-M 'P 1'
_symmetry_Int_Tables_number 1
_cell_length_a 4.5728
_cell_length_b 5.7508
_cell_length_c 5.7508
_cell_angle_alpha 39.58
_cell_angle_beta 90.00
_cell_angle_gamma 90.00
loop_
_symmetry_equiv_pos_as_xyz
'x,y,z'
loop_
_atom_site_label
_atom_site_fract_x
_atom_site_fract_y
_atom_site_fract_z
_atom_site_occupancy
Nd1 0.0000 0.0000 0.0000 1
Sm1 0.5000 0.2739 0.2739 1
Pd1 0.5000 0.5516 0.5516 1
Pt1 0.0000 0.7246 0.7246 1
# ΔH_f (0 K): -1.0076 eV per atom
# SG: No. 38



[6]
# IrCl, relaxed, DFT PBE-GGA
data_IrCl
_symmetry_space_group_name_H-M 'P 1'
_symmetry_Int_Tables_number 1
_cell_length_a 2.9062
_cell_length_b 2.9062
_cell_length_c 8.9321
_cell_angle_alpha 90.00
_cell_angle_beta 90.00
_cell_angle_gamma 120.00
loop_
_symmetry_equiv_pos_as_xyz
'x,y,z'
loop_
_atom_site_label
_atom_site_fract_x
_atom_site_fract_y
_atom_site_fract_z
_atom_site_occupancy
Ir1 0.3333 0.6667 0.0000 1
Ir2 0.6667 0.3333 0.5000 1
Cl1 0.3333 0.6667 0.7503 1
Cl2 0.6667 0.3333 0.2503 1
# SG: No. 186
# ΔE_f (raw): 0.728 eV/atom



Polymorph energy (0 for the lowest one) across the listed records, respectively: 37; 41; 40; 46; 0; 593 meV per atom.
Electronic total energy across the listed records, respectively: -2.40; -4.86; -6.31; -4.32; -6.19; -4.63 eV per atom.